1.
VASP calculation (PBE) on a relaxed Rb2Dy2ZrS6 crystal.

The structure belongs to space group C2/m (No. 12); the cell edges are 6.843, 11.772 and 8.206 Å and the angles 90.00°, 106.44° and 90.00°. The asymmetric unit holds Rb at (0.000, 0.169, 0.000), Dy at (0.000, 0.333, 0.500), Zr at (0.000, 0.000, 0.500), S at (0.222, 0.159, 0.686) and S at (0.247, 0.500, 0.685).

Its raw total energy is -5.83 eV per atom. The mass density is 4.08 g cm⁻³. For the total magnetic moment, the calculation gives 0.00 μB per cell. The crystal system is monoclinic.



2.
VASP calculation (PBE) on a relaxed Rb4Dy3ZrS8 crystal.

The structure belongs to space group R-3m (No. 166, hexagonal axes); the cell edges are 8.0165, 8.0165 and 23.0711 Å and the angles 90.00°, 90.00° and 120.00°. The asymmetric unit holds Rb at (0.0000, 0.0000, 0.0000), Rb at (0.0000, 0.5000, 0.0000), Dy at (0.0000, 0.5000, 0.5000), Zr at (0.0000, 0.0000, 0.5000), S at (0.0000, 0.0000, 0.2314) and S at (0.0120, 0.5060, 0.2302).

Its raw total energy is -5.44 eV per atom. The mass density is 4.57 g cm⁻³. For the total magnetic moment, the calculation gives 0.00 μB per cell. The crystal system is trigonal.



3.
VASP calculation (PBE) on a relaxed RbDySb2 crystal.

The structure belongs to space group R-3m (No. 166, hexagonal axes); the cell edges are 4.7605, 4.7605 and 23.9689 Å and the angles 90.00°, 90.00° and 120.00°. The asymmetric unit holds Rb at (0.0000, 0.0000, 0.0000), Dy at (0.0000, 0.0000, 0.5000) and Sb at (0.0000, 0.0000, 0.2251).

Its raw total energy is -3.94 eV per atom. The mass density is 5.20 g cm⁻³. For the total magnetic moment, the calculation gives 0.00 μB per cell. The crystal system is trigonal.



4.
VASP calculation (PBE) on a relaxed Rb3Dy3SbSe8 crystal.

The structure belongs to space group R-3m (No. 166, hexagonal axes); the cell edges are 8.3537, 8.3537 and 24.4761 Å and the angles 90.00°, 90.00° and 120.00°. The asymmetric unit holds Rb at (0.0000, 0.5000, 0.0000), Dy at (0.0000, 0.5000, 0.5000), Sb at (0.0000, 0.0000, 0.5000), Se at (0.0000, 0.0000, 0.2314) and Se at (0.0067, 0.5033, 0.2303).

Its raw total energy is -4.67 eV per atom. The mass density is 5.04 g cm⁻³. For the total magnetic moment, the calculation gives 0.00 μB per cell. The crystal system is trigonal.



5.
VASP calculation (PBE) on a relaxed Rb4Dy3SbSe8 crystal.

The structure belongs to space group R-3m (No. 166, hexagonal axes); the cell edges are 8.5166, 8.5166 and 23.9268 Å and the angles 90.00°, 90.00° and 120.00°. The asymmetric unit holds Rb at (0.0000, 0.0000, 0.0000), Rb at (0.0000, 0.5000, 0.0000), Dy at (0.0000, 0.5000, 0.5000), Sb at (0.0000, 0.0000, 0.5000), Se at (0.0000, 0.0000, 0.2318) and Se at (0.0018, 0.5009, 0.7683).

Its raw total energy is -4.58 eV per atom. The mass density is 5.25 g cm⁻³. For the total magnetic moment, the calculation gives 0.00 μB per cell. The crystal system is trigonal.



6.
VASP calculation (PBE) on a relaxed Rb3Dy2SbTe6 crystal.

The structure belongs to space group C2/m (No. 12); the cell edges are 7.878, 13.646 and 8.920 Å and the angles 90.00°, 107.12° and 90.00°. The asymmetric unit holds Rb at (0.000, 0.000, 0.000), Rb at (0.000, 0.334, 0.000), Dy at (0.000, 0.167, 0.500), Sb at (0.000, 0.500, 0.500), Te at (0.232, 0.334, 0.697) and Te at (0.233, 0.000, 0.697).

Its raw total energy is -4.02 eV per atom. The mass density is 5.32 g cm⁻³. For the total magnetic moment, the calculation gives 0.00 μB per cell. The crystal system is monoclinic.



7.
VASP calculation (PBE) on a relaxed Rb3DySb2Te6 crystal.

The structure belongs to space group C2/m (No. 12); the cell edges are 7.888, 13.660 and 8.934 Å and the angles 90.00°, 107.12° and 90.00°. The asymmetric unit holds Rb at (0.000, 0.000, 0.000), Rb at (0.000, 0.332, 0.000), Dy at (0.000, 0.500, 0.500), Sb at (0.000, 0.167, 0.500), Te at (0.232, 0.000, 0.697) and Te at (0.232, 0.333, 0.697).

Its raw total energy is -3.69 eV per atom. The mass density is 5.15 g cm⁻³. For the total magnetic moment, the calculation gives 0.00 μB per cell. The crystal system is monoclinic.



8.
VASP calculation (PBE) on a relaxed Rb4Dy3ScSe8 crystal.

The structure belongs to space group R-3m (No. 166, hexagonal axes); the cell edges are 8.3889, 8.3889 and 23.9354 Å and the angles 90.00°, 90.00° and 120.00°. The asymmetric unit holds Rb at (0.0000, 0.0000, 0.0000), Rb at (0.0000, 0.5000, 0.0000), Dy at (0.0000, 0.5000, 0.5000), Sc at (0.0000, 0.0000, 0.5000), Se at (0.0000, 0.0000, 0.2323) and Se at (0.0104, 0.5052, 0.2306).

Its raw total energy is -4.94 eV per atom. The mass density is 5.14 g cm⁻³. For the total magnetic moment, the calculation gives 0.00 μB per cell. The crystal system is trigonal.